# TaCr2Tc, relaxed, DFT GGA-PBE
# energy: -41.307 eV per cell
# crystal system: monoclinic
# magnetization: 0.00 μB/f.u.
# ΔH_f (0 K): 0.16 eV per formula unit
data_TaCr2Tc
_chemical_formula_sum 'Ta1 Cr2 Tc1'
_space_group_name_H-M_alt 'P 1 2/m 1'
_space_group_IT_number 10
_space_group_name_Hall '-P 2y'
_cell_length_a 2.699
_cell_length_b 4.221
_cell_length_c 5.047
_cell_angle_alpha 90.00
_cell_angle_beta 100.52
_cell_angle_gamma 90.00
loop_
_atom_site_label
_atom_site_type_symbol
_atom_site_fract_x
_atom_site_fract_y
_atom_site_fract_z
Ta1 Ta 0.000 0.000 0.000
Cr1 Cr 0.248 0.500 0.742
Tc1 Tc 0.500 0.000 0.500

=====

# BaAg2Cl4, relaxed, DFT GGA-PBE
# energy: -96.987 eV per cell
# formation energy (no corrections): -127 kJ per mole of atoms
# crystal system: tetragonal
# magnetization: 0.00 μB/f.u.
data_BaAg2Cl4
_chemical_formula_sum 'Ba4 Ag8 Cl16'
_space_group_name_H-M_alt 'I -4 2 d'
_space_group_IT_number 122
_space_group_name_Hall 'I -4 2bw'
_cell_length_a 9.987
_cell_length_b 9.987
_cell_length_c 8.120
_cell_angle_alpha 90.00
_cell_angle_beta 90.00
_cell_angle_gamma 90.00
loop_
_atom_site_label
_atom_site_type_symbol
_atom_site_fract_x
_atom_site_fract_y
_atom_site_fract_z
Ba1 Ba 0.000 0.000 0.000
Ag1 Ag 0.105 0.250 0.625
Cl1 Cl 0.012 0.694 0.917

=====

# Y3Al7Zn2, relaxed, DFT GGA-PBE
# energy: -159.767 eV per cell
# crystal system: trigonal
# magnetization: 0.00 μB/f.u.
# ΔH_f (0 K): -5.12 eV per formula unit
data_Y3Al7Zn2
_chemical_formula_sum 'Y9 Al21 Zn6'
_space_group_name_H-M_alt 'R -3 m'
_space_group_IT_number 166
_space_group_name_Hall '-R 3 2"'
_cell_length_a 5.5395
_cell_length_b 5.5395
_cell_length_c 25.9745
_cell_angle_alpha 90.00
_cell_angle_beta 90.00
_cell_angle_gamma 120.00
loop_
_atom_site_label
_atom_site_type_symbol
_atom_site_fract_x
_atom_site_fract_y
_atom_site_fract_z
Y1 Y 0.0000 0.0000 0.0000
Y2 Y 0.0000 0.0000 0.1409
Al1 Al 0.0000 0.0000 0.5000
Al2 Al 0.0061 0.5031 0.9179
Zn1 Zn 0.0000 0.0000 0.3352

=====

# NdCO4, relaxed, DFT GGA-PBE
# energy: -180.754 eV per cell
# formation energy (no corrections): -183 kJ per mole of atoms
# crystal system: tetragonal
# magnetization: 1.03 μB/f.u.
data_NdCO4
_chemical_formula_sum 'Nd4 C4 O16'
_space_group_name_H-M_alt 'I 41/a m d'
_space_group_IT_number 141
_cell_length_a 6.935
_cell_length_b 6.935
_cell_length_c 5.990
_cell_angle_alpha 90.00
_cell_angle_beta 90.00
_cell_angle_gamma 90.00
loop_
_space_group_symop_operation_xyz
'x,y,z'
'-x,-y,-z'
'-y+1/4,x+3/4,z+1/4'
'y+1/4,-x+3/4,-z+1/4'
'-x+1/2,-y,z+1/2'
'x+1/2,y,-z+1/2'
'y+1/4,-x+1/4,z+3/4'
'-y+1/4,x+1/4,-z+3/4'
'x,-y,-z'
'-x,y,z'
'-y+1/4,-x+1/4,-z+3/4'
'y+1/4,x+1/4,z+3/4'
'-x+1/2,y,-z+1/2'
'x+1/2,-y,z+1/2'
'y+1/4,x+3/4,-z+1/4'
'-y+1/4,-x+3/4,z+1/4'
'x+1/2,y+1/2,z+1/2'
'-x+1/2,-y+1/2,-z+1/2'
'-y+3/4,x+1/4,z+3/4'
'y+3/4,-x+1/4,-z+3/4'
'-x,-y+1/2,z'
'x,y+1/2,-z'
'y+3/4,-x+3/4,z+1/4'
'-y+3/4,x+3/4,-z+1/4'
'x+1/2,-y+1/2,-z+1/2'
'-x+1/2,y+1/2,z+1/2'
'-y+3/4,-x+3/4,-z+1/4'
'y+3/4,x+3/4,z+1/4'
'-x,y+1/2,-z'
'x,-y+1/2,z'
'y+3/4,x+1/4,-z+3/4'
'-y+3/4,-x+1/4,z+3/4'
loop_
_atom_site_label
_atom_site_type_symbol
_atom_site_fract_x
_atom_site_fract_y
_atom_site_fract_z
Nd1 Nd 0.000 0.250 0.375
C1 C 0.000 0.250 0.875
O1 O 0.000 0.087 0.737